# Ce12SiRu6 | Alexandria | GGA-PBE | relaxed
data_Ce12SiRu6
_cell_length_a 11.8937
_cell_length_b 11.8937
_cell_length_c 12.5274
_cell_angle_alpha 90.00
_cell_angle_beta 90.00
_cell_angle_gamma 120.00
_symmetry_space_group_name_H-M 'R -3'
_symmetry_Int_Tables_number 148
_symmetry_space_group_name_Hall '-R 3'
loop_
_atom_site_label
_atom_site_type_symbol
_atom_site_fract_x
_atom_site_fract_y
_atom_site_fract_z
Ce1 Ce 0.0022 0.8211 0.1161
Ce2 Ce 0.0055 0.8129 0.6379
Si1 Si 0.0000 0.0000 0.5000
Ru1 Ru 0.0169 0.2633 0.1249
# calculated total energy = -7.122 eV/atom
# uncorrected formation energy = -3.0 eV/f.u.

# Rb2ZrSi | Alexandria | GGA-PBE | relaxed
data_Rb2ZrSi
_cell_length_a 13.467
_cell_length_b 13.467
_cell_length_c 5.165
_cell_angle_alpha 90.00
_cell_angle_beta 90.00
_cell_angle_gamma 90.00
_symmetry_space_group_name_H-M 'I -4 2 d'
_symmetry_Int_Tables_number 122
_symmetry_space_group_name_Hall 'I -4 2bw'
loop_
_atom_site_label
_atom_site_type_symbol
_atom_site_fract_x
_atom_site_fract_y
_atom_site_fract_z
Rb1 Rb 0.076 0.250 0.125
Zr1 Zr 0.000 0.000 0.500
Si1 Si 0.000 0.000 0.000
# calculated total energy = -3.277 eV/atom
# uncorrected formation energy = 2.8 eV/f.u.

# La3TmOs | Alexandria | GGA-PBE | relaxed
data_La3TmOs
_cell_length_a 5.647
_cell_length_b 5.647
_cell_length_c 5.647
_cell_angle_alpha 90.00
_cell_angle_beta 90.00
_cell_angle_gamma 90.00
_symmetry_space_group_name_H-M 'P m -3 m'
_symmetry_Int_Tables_number 221
_symmetry_space_group_name_Hall '-P 4 2 3'
loop_
_atom_site_label
_atom_site_type_symbol
_atom_site_fract_x
_atom_site_fract_y
_atom_site_fract_z
La1 La 0.000 0.000 0.500
Tm1 Tm 0.500 0.500 0.500
Os1 Os 0.000 0.000 0.000
# calculated total energy = -6.042 eV/atom

# Y2ZrIn | Alexandria | GGA-PBE | relaxed
data_Y2ZrIn
_cell_length_a 4.655
_cell_length_b 4.655
_cell_length_c 9.696
_cell_angle_alpha 90.00
_cell_angle_beta 90.00
_cell_angle_gamma 90.00
_symmetry_space_group_name_H-M 'I 4/m m m'
_symmetry_Int_Tables_number 139
_symmetry_space_group_name_Hall '-I 4 2'
loop_
_atom_site_label
_atom_site_type_symbol
_atom_site_fract_x
_atom_site_fract_y
_atom_site_fract_z
Y1 Y 0.000 0.500 0.250
Zr1 Zr 0.000 0.000 0.000
In1 In 0.000 0.000 0.500
# ΔE to the lowest computed polymorph = 29 meV/atom
# calculated total energy = -6.223 eV/atom

# Ho3HgS | Alexandria | GGA-PBE | relaxed
data_Ho3HgS
_cell_length_a 5.121
_cell_length_b 5.121
_cell_length_c 5.121
_cell_angle_alpha 90.00
_cell_angle_beta 90.00
_cell_angle_gamma 90.00
_symmetry_space_group_name_H-M 'P m -3 m'
_symmetry_Int_Tables_number 221
_symmetry_space_group_name_Hall '-P 4 2 3'
loop_
_atom_site_label
_atom_site_type_symbol
_atom_site_fract_x
_atom_site_fract_y
_atom_site_fract_z
Ho1 Ho 0.000 0.000 0.500
Hg1 Hg 0.500 0.500 0.500
S1 S 0.000 0.000 0.000
# ΔE to the lowest computed polymorph = 217 meV/atom
# calculated total energy = -4.418 eV/atom
# uncorrected formation energy = -3.9 eV/f.u.

# HgRh4Se8 | Alexandria | GGA-PBE | relaxed
data_HgRh4Se8
_cell_length_a 7.3194
_cell_length_b 7.3194
_cell_length_c 20.7857
_cell_angle_alpha 90.00
_cell_angle_beta 90.00
_cell_angle_gamma 120.00
_symmetry_space_group_name_H-M 'R -3 m'
_symmetry_Int_Tables_number 166
_symmetry_space_group_name_Hall '-R 3 2"'
loop_
_atom_site_label
_atom_site_type_symbol
_atom_site_fract_x
_atom_site_fract_y
_atom_site_fract_z
Hg1 Hg 0.0000 0.0000 0.0000
Rh1 Rh 0.0000 0.0000 0.5000
Rh2 Rh 0.0000 0.5000 0.5000
Se1 Se 0.0000 0.0000 0.2324
Se2 Se 0.0047 0.5024 0.7687
# calculated total energy = -4.734 eV/atom
# uncorrected formation energy = -4.0 eV/f.u.

# PrSmHo2Sc2 | Alexandria | GGA-PBE | relaxed
data_PrSmHo2Sc2
_cell_length_a 6.306
_cell_length_b 17.556
_cell_length_c 3.355
_cell_angle_alpha 90.00
_cell_angle_beta 90.00
_cell_angle_gamma 90.00
_symmetry_space_group_name_H-M 'P n n m'
_symmetry_Int_Tables_number 58
_symmetry_space_group_name_Hall '-P 2 2n'
loop_
_atom_site_label
_atom_site_type_symbol
_atom_site_fract_x
_atom_site_fract_y
_atom_site_fract_z
Pr1 Pr 0.000 0.000 0.000
Sm1 Sm 0.000 0.500 0.000
Ho1 Ho 0.217 0.193 0.000
Sc1 Sc 0.214 0.353 0.500
# calculated total energy = -4.939 eV/atom

# Er6Te3P2Au | Alexandria | GGA-PBE | relaxed
data_Er6Te3P2Au
_cell_length_a 7.195
_cell_length_b 12.492
_cell_length_c 7.318
_cell_angle_alpha 90.00
_cell_angle_beta 109.38
_cell_angle_gamma 90.00
_symmetry_space_group_name_H-M 'C 1 2/m 1'
_symmetry_Int_Tables_number 12
_symmetry_space_group_name_Hall '-C 2y'
loop_
_atom_site_label
_atom_site_type_symbol
_atom_site_fract_x
_atom_site_fract_y
_atom_site_fract_z
Er1 Er 0.226 0.000 0.215
Er2 Er 0.245 0.327 0.216
Te1 Te 0.000 0.000 0.500
Te2 Te 0.000 0.335 0.500
P1 P 0.000 0.166 0.000
Au1 Au 0.000 0.500 0.000
# calculated total energy = -5.572 eV/atom
# uncorrected formation energy = -16.0 eV/f.u.